# AcPr12Er7 PBE relaxed
# density of states at the Fermi level	26.2	states/eV/cell
# calculated formation energy	0.64	eV/atom
# space group	Im-3 (204)
# E above lowest polymorph	0.4217	eV/atom
data_AcPr12Er7
_chemical_formula_sum 'Ac1 Pr12 Er7'
_cell_length_a 10.085
_cell_length_b 10.085
_cell_length_c 10.085
_cell_angle_alpha 109.47
_cell_angle_beta 109.47
_cell_angle_gamma 109.47
_symmetry_space_group_name_H-M 'P 1'
_symmetry_Int_Tables_number 1
_symmetry_space_group_name_Hall 'P 1'
loop_
_atom_site_label
_atom_site_fract_x
_atom_site_fract_y
_atom_site_fract_z
_atom_site_occupancy
Pr1 0.707 0.232 0.939 1
Er1 0.500 0.000 0.500 1
Pr2 0.232 0.524 0.293 1
Pr3 0.768 0.061 0.293 1
Pr4 0.232 0.939 0.707 1
Pr5 0.707 0.768 0.476 1
Er2 0.000 0.500 0.500 1
Er3 0.500 0.000 0.000 1
Pr6 0.939 0.707 0.232 1
Ac1 0.000 0.000 0.000 1
Pr7 0.524 0.293 0.232 1
Pr8 0.293 0.232 0.524 1
Er4 0.000 0.500 0.000 1
Pr9 0.293 0.768 0.061 1
Er5 0.000 0.000 0.500 1
Pr10 0.476 0.707 0.768 1
Pr11 0.061 0.293 0.768 1
Pr12 0.768 0.476 0.707 1
Er6 0.500 0.500 0.500 1
Er7 0.500 0.500 0.000 1